w) Ba2Na3Pd2 (PBE, optimized geometry); M_tot = 0.0 μB/f.u.; space group = C2/m; calculated volume = 229 Å³/cell
1.0
4.611 0.000 0.000
-2.306 5.956 0.212
0.000 -1.091 8.283
Na Pd Ba
3 2 2
Cartesian
2.306 1.124 7.142 Na
0.000 0.000 0.000 Na
0.000 3.741 1.353 Na
0.000 0.255 5.286 Pd
2.306 4.610 3.209 Pd
2.306 1.111 3.096 Ba
0.000 3.754 5.399 Ba

x) Ba2Na3Pd2 (PBE, optimized geometry); M_tot = 0.0 μB/f.u.; space group = P2/m; calculated volume = 284 Å³/cell
1.0
4.391 0.000 -1.013
0.000 4.383 0.000
1.078 0.000 14.497
Na Pd Ba
3 2 2
Cartesian
0.000 0.000 0.000 Na
1.328 0.000 5.679 Na
4.140 0.000 7.805 Na
0.671 0.000 2.860 Pd
4.797 0.000 10.624 Pd
2.590 2.191 11.080 Ba
2.878 2.191 2.404 Ba

Which structure is the least stable? The one labeled x).

w) BaNa2Pd (PBE, optimized geometry); M_tot = 0.0 μB/f.u.; space group = R-3m; calculated volume = 142 Å³/cell
1.0
3.783 0.000 0.000
1.892 3.276 0.000
1.892 1.092 11.453
Na Pd Ba
2 1 1
Cartesian
5.675 3.276 3.849 Na
1.892 1.092 7.603 Na
3.783 2.184 5.726 Pd
0.000 0.000 0.000 Ba

x) BaNa2Pd (PBE, optimized geometry); M_tot = 0.0 μB/f.u.; space group = P2_1/m; calculated volume = 259 Å³/cell
1.0
4.704 0.006 0.000
-2.344 5.654 0.000
0.000 0.000 9.734
Na Pd Ba
4 2 2
Cartesian
0.005 3.778 9.177 Na
2.355 1.882 4.309 Na
2.355 1.882 0.558 Na
0.005 3.778 5.425 Na
0.004 2.773 2.434 Pd
2.356 2.887 7.301 Pd
2.360 5.057 2.434 Ba
0.000 0.603 7.301 Ba

y) BaNa2Pd (PBE, optimized geometry); M_tot = 0.0 μB/f.u.; space group = I-42d; calculated volume = 261 Å³/cell
1.0
4.577 0.000 0.000
0.000 4.577 0.000
2.288 2.288 12.448
Pd Na Ba
2 4 2
Cartesian
2.288 4.577 6.224 Pd
2.288 2.288 0.000 Pd
1.349 3.433 3.112 Na
3.228 1.144 3.112 Na
5.721 5.517 9.336 Na
3.433 3.637 9.336 Na
0.000 0.000 0.000 Ba
4.577 2.288 6.224 Ba

Which structure is the least stable? The one labeled w).